A plane-wave DFT calculation with PBE was carried out for a relaxed structure of Ac3Tl2ZnPd6.

abc: 5.976 5.976 9.038
angles: 90.00 90.00 120.00
Fractional coordinates of all 12 atoms:
Pd 0.827 0.173 0.708
Pd 0.346 0.173 0.708
Pd 0.173 0.827 0.292
Pd 0.173 0.345 0.292
Pd 0.654 0.827 0.292
Pd 0.827 0.655 0.708
Zn 0.000 0.000 0.500
Tl 0.667 0.333 0.980
Tl 0.333 0.667 0.020
Ac 0.667 0.333 0.380
Ac 0.000 0.000 0.000
Ac 0.333 0.667 0.620

Theoretical density   10.65 Mg/m³
SG   No. 164
V   23.30 Å³ per atom
ΔH_f (0 K)   -0.65 eV/atom
Total moment   0.0 μB/cell